# PBE-GGA LiNd2H6Rh2, optimized geometry
data_LiNd2H6Rh2
_chemical_formula_sum 'Li3 Nd6 H18 Rh6'
_cell_length_a 4.8746
_cell_length_b 4.8746
_cell_length_c 18.3187
_cell_angle_alpha 90.00
_cell_angle_beta 90.00
_cell_angle_gamma 120.00
_symmetry_space_group_name_H-M 'R -3 m'
_symmetry_Int_Tables_number 166
_symmetry_space_group_name_Hall '-R 3 2"'
loop_
_atom_site_label
_atom_site_type_symbol
_atom_site_fract_x
_atom_site_fract_y
_atom_site_fract_z
Li1 Li 0.0000 0.0000 0.0000
Nd1 Nd 0.0000 0.0000 0.2263
H1 H 0.0087 0.5044 0.7640
Rh1 Rh 0.0000 0.0000 0.3789
# Electronic total energy, eV per atom: -4.65